Density functional theory data (PBE) for SrCr2Cu after structural relaxation.

The structure in CIF format:
```
data_SrCr2Cu
_chemical_formula_sum 'Sr1 Cr2 Cu1'
_space_group_name_H-M_alt 'P 1'
_space_group_IT_number 1
_space_group_name_Hall 'P 1'
_cell_length_a 6.126
_cell_length_b 6.126
_cell_length_c 6.126
_cell_angle_alpha 41.29
_cell_angle_beta 41.29
_cell_angle_gamma 41.29
loop_
_atom_site_label
_atom_site_type_symbol
_atom_site_fract_x
_atom_site_fract_y
_atom_site_fract_z
_atom_site_occupancy
Sr1 Sr 0.000 0.000 0.000 1
Cr1 Cr 0.492 0.492 0.492 1
Cr2 Cr 0.807 0.807 0.807 1
Cu1 Cu 0.197 0.197 0.197 1
```

Calculated values
Energy above the lowest structure with this stoichiometry (meV per atom): 0
VASP energy (eV/atom): -5.83
Symmetry: R3m, No. 160
Magnetization (μB/atom): 0.007
Volume (Å³/cell): 90